No. 1
A plane-wave DFT calculation with PBE was carried out for CsK2BiCl6 after structural relaxation.

Summary:
* space-group type: R3 (146)
* total magnetic moment: 0.000 μB per cell
* uncorrected formation energy: -1.618 eV/atom
* calculated density: 2.756 g/cm3
* E above lowest polymorph: 0.016 eV/atom

a b c (Å): 7.932 7.932 8.362
angles (deg): 61.68 61.69 60.00
Fractional positions:
Cs 0.807 0.807 0.578
Cl 0.566 0.235 0.231
Cl 0.383 0.684 0.778
Cl 0.684 0.155 0.778
Cl 0.967 0.566 0.231
Cl 0.235 0.968 0.231
Cl 0.156 0.383 0.778
Bi 0.325 0.325 0.026
K 0.011 0.011 0.966
K 0.527 0.527 0.418

***

No. 2
A plane-wave DFT calculation with PBE was carried out for CsLaBi2Cl after structural relaxation.

Summary:
* space-group type: P4/mmm (123)
* total magnetic moment: 0.000 μB per cell
* uncorrected formation energy: 0.232 eV/atom
* calculated density: 5.487 g/cm3

a b c (Å): 6.169 5.766 6.169
angles (deg): 90.00 90.00 90.00
Fractional positions:
Bi 0.500 0.000 0.000
Bi 0.000 0.000 0.500
Cl 0.000 0.500 0.000
La 0.500 0.500 0.500
Cs 0.000 0.000 0.000

***

No. 3
A plane-wave DFT calculation with PBE was carried out for CsLi2BiCl6 after structural relaxation.

Summary:
* space-group type: R-3 (148)
* total magnetic moment: 0.000 μB per cell
* uncorrected formation energy: -1.547 eV/atom
* calculated density: 2.873 g/cm3

a b c (Å): 6.729 6.729 9.234
angles (deg): 68.64 68.66 60.01
Fractional positions:
Li 0.644 0.645 0.067
Li 0.988 0.988 0.036
Bi 0.316 0.316 0.052
Cl 0.913 0.602 0.225
Cl 0.373 0.719 0.878
Cl 0.719 0.031 0.878
Cl 0.031 0.372 0.878
Cl 0.602 0.260 0.225
Cl 0.260 0.913 0.225
Cs 0.816 0.816 0.551

***

No. 4
A plane-wave DFT calculation with PBE was carried out for CsLiBiCl5 after structural relaxation.

Summary:
* space-group type: C2/c (15)
* total magnetic moment: 0.000 μB per cell
* uncorrected formation energy: -1.471 eV/atom
* calculated density: 3.158 g/cm3

a b c (Å): 7.819 7.819 10.340
angles (deg): 104.07 104.07 106.65
Fractional positions:
Cl 0.703 0.104 0.396
Cl 0.297 0.896 0.604
Cl 0.771 0.627 0.416
Cl 0.373 0.229 0.084
Cl 0.071 0.929 0.250
Cl 0.229 0.373 0.584
Cl 0.929 0.071 0.750
Cl 0.896 0.297 0.104
Cl 0.627 0.771 0.916
Cl 0.104 0.703 0.896
Cs 0.655 0.345 0.750
Cs 0.345 0.655 0.250
Bi 0.000 0.000 0.500
Bi 0.000 0.000 0.000
Li 0.305 0.695 0.750
Li 0.695 0.305 0.250